a:
A relaxed structure of TbPm4Cd, computed with PBE.

Values from the calculation:
SG: C2/c (15)

Geometry as CIF:
```
data_TbPm4Cd
_chemical_formula_sum 'Tb2 Pm8 Cd2'
_cell_length_a 6.411
_cell_length_b 9.085
_cell_length_c 8.467
_cell_angle_alpha 113.10
_cell_angle_beta 100.04
_cell_angle_gamma 112.38
_symmetry_space_group_name_H-M 'P 1'
_symmetry_Int_Tables_number 1
_symmetry_space_group_name_Hall 'P 1'
loop_
_atom_site_label
_atom_site_fract_x
_atom_site_fract_y
_atom_site_fract_z
_atom_site_occupancy
Cd1 0.251 0.001 0.002 1
Cd2 0.749 0.999 0.998 1
Pm1 0.958 0.834 0.239 1
Pm2 0.757 0.711 0.618 1
Pm3 0.219 0.595 0.761 1
Pm4 0.638 0.093 0.382 1
Pm5 0.362 0.907 0.618 1
Pm6 0.243 0.289 0.382 1
Pm7 0.042 0.166 0.761 1
Pm8 0.781 0.405 0.239 1
Tb1 0.662 0.412 0.825 1
Tb2 0.338 0.588 0.175 1
```

***

b:
A relaxed structure of TbPm4Cd, computed with PBE.

Values from the calculation:
SG: P4/mmm (123)

Geometry as CIF:
```
data_TbPm4Cd
_chemical_formula_sum 'Tb1 Pm4 Cd1'
_cell_length_a 3.657
_cell_length_b 3.657
_cell_length_c 14.321
_cell_angle_alpha 90.00
_cell_angle_beta 90.00
_cell_angle_gamma 90.00
_symmetry_space_group_name_H-M 'P 1'
_symmetry_Int_Tables_number 1
_symmetry_space_group_name_Hall 'P 1'
loop_
_atom_site_label
_atom_site_fract_x
_atom_site_fract_y
_atom_site_fract_z
_atom_site_occupancy
Tb1 0.000 0.000 0.000 1
Pm1 0.500 0.500 0.824 1
Pm2 0.000 0.000 0.647 1
Pm3 0.500 0.500 0.176 1
Pm4 0.000 0.000 0.353 1
Cd1 0.500 0.500 0.500 1
```

***

Here are the energies relative to the best structure, in meV/atom: a 96; b 0.

***

a:
A relaxed structure of Tb6PmCd2, computed with PBE.

Values from the calculation:
SG: C2/m (12)

Geometry as CIF:
```
data_Tb6PmCd2
_chemical_formula_sum 'Tb6 Pm1 Cd2'
_cell_length_a 3.763
_cell_length_b 6.611
_cell_length_c 11.780
_cell_angle_alpha 75.27
_cell_angle_beta 80.81
_cell_angle_gamma 73.47
_symmetry_space_group_name_H-M 'P 1'
_symmetry_Int_Tables_number 1
_symmetry_space_group_name_Hall 'P 1'
loop_
_atom_site_label
_atom_site_fract_x
_atom_site_fract_y
_atom_site_fract_z
_atom_site_occupancy
Pm1 0.000 0.000 0.000 1
Tb1 0.985 0.690 0.341 1
Tb2 0.015 0.310 0.659 1
Tb3 0.685 0.506 0.124 1
Tb4 0.312 0.792 0.583 1
Tb5 0.315 0.494 0.876 1
Tb6 0.688 0.208 0.417 1
Cd1 0.648 0.916 0.787 1
Cd2 0.352 0.084 0.213 1
```

***

b:
A relaxed structure of Tb6PmCd2, computed with PBE.

Values from the calculation:
SG: C2/c (15)

Geometry as CIF:
```
data_Tb6PmCd2
_chemical_formula_sum 'Tb12 Pm2 Cd4'
_cell_length_a 6.096
_cell_length_b 9.629
_cell_length_c 9.629
_cell_angle_alpha 72.78
_cell_angle_beta 85.28
_cell_angle_gamma 85.28
_symmetry_space_group_name_H-M 'P 1'
_symmetry_Int_Tables_number 1
_symmetry_space_group_name_Hall 'P 1'
loop_
_atom_site_label
_atom_site_fract_x
_atom_site_fract_y
_atom_site_fract_z
_atom_site_occupancy
Tb1 0.310 0.730 0.030 1
Tb2 0.491 0.679 0.434 1
Tb3 0.690 0.270 0.970 1
Tb4 0.337 0.900 0.647 1
Tb5 0.009 0.566 0.321 1
Tb6 0.991 0.434 0.679 1
Tb7 0.810 0.030 0.730 1
Tb8 0.190 0.970 0.270 1
Tb9 0.163 0.353 0.100 1
Tb10 0.509 0.321 0.566 1
Tb11 0.663 0.100 0.353 1
Tb12 0.837 0.647 0.900 1
Pm1 0.750 0.897 0.103 1
Pm2 0.250 0.103 0.897 1
Cd1 0.594 0.461 0.211 1
Cd2 0.406 0.539 0.789 1
Cd3 0.094 0.211 0.461 1
Cd4 0.906 0.789 0.539 1
```

***

Here are the energies relative to the best structure, in meV/atom: a 0; b 75.